Entry 1:
# Li2AgSb

A geometry-optimized Li2AgSb structure (PBE-GGA, the Alexandria database).

a b c (Å): 4.6173 4.6173 3.3662
angles (deg): 90.20 90.20 88.25
Fractional positions:
1 Li 0.0000 0.5000 0.0000
2 Li 0.5000 0.0000 0.0000
3 Ag 0.0000 0.0000 0.5000
4 Sb 0.5000 0.5000 0.5000

**Total DFT energy (no corrections)**: -3.056 eV/atom
**Space group**: C2/m, No. 12
**DOS(E_F)**: 0.20 states/eV/atom
**Spin magnetization**: 0.000 μB/atom

Entry 2:
# SrMnRh2

A geometry-optimized SrMnRh2 structure (PBE-GGA, the Alexandria database).

a b c (Å): 3.1812 3.1812 7.2172
angles (deg): 90.00 90.00 90.00
Fractional positions:
1 Sr 0.0000 0.0000 0.0000
2 Mn 0.0000 0.0000 0.5000
3 Rh 0.5000 0.5000 0.3063
4 Rh 0.5000 0.5000 0.6937

**Formation enthalpy at 0 K**: -0.01 eV/atom
**Total DFT energy (no corrections)**: -6.395 eV/atom
**Space group**: P4/mmm, No. 123
**DOS(E_F)**: 1.07 states/eV/atom
**Spin magnetization**: 1.039 μB/atom

Entry 3:
# ZrAsBr2

A geometry-optimized ZrAsBr2 structure (PBE-GGA, the Alexandria database).

a b c (Å): 4.4057 4.4057 4.6884
angles (deg): 90.00 90.00 90.00
Fractional positions:
1 Zr 0.0000 0.0000 0.0000
2 As 0.5000 0.5000 0.0000
3 Br 0.0000 0.5000 0.5000
4 Br 0.5000 0.0000 0.5000

**Total DFT energy (no corrections)**: -4.057 eV/atom
**Space group**: P4/mmm, No. 123
**DOS(E_F)**: 0.90 states/eV/atom
**Spin magnetization**: 0.115 μB/atom

Entry 4:
# Pu3PtAu

A geometry-optimized Pu3PtAu structure (PBE-GGA, the Alexandria database).

a b c (Å): 5.3445 5.3511 8.3181
angles (deg): 90.00 108.62 90.00
Fractional positions:
1 Pu 0.0521 0.2500 0.0983
2 Pu 0.2508 0.2500 0.4955
3 Pu 0.4483 0.2500 0.8903
4 Pu 0.5517 0.7500 0.1097
5 Pu 0.7492 0.7500 0.5045
6 Pu 0.9479 0.7500 0.9017
7 Pt 0.1456 0.7500 0.2986
8 Pt 0.8544 0.2500 0.7014
9 Au 0.3457 0.7500 0.6991
10 Au 0.6543 0.2500 0.3009

**Formation enthalpy at 0 K**: -0.38 eV/atom
**Total DFT energy (no corrections)**: -10.844 eV/atom
**Space group**: P2_1/m, No. 11
**DOS(E_F)**: 4.66 states/eV/atom
**Spin magnetization**: 1.205 μB/atom

Entry 5:
# LiFeAs2

A geometry-optimized LiFeAs2 structure (PBE-GGA, the Alexandria database).

a b c (Å): 5.2500 5.2500 4.3423
angles (deg): 90.42 90.42 30.88
Fractional positions:
1 Li 0.0000 0.0000 0.0000
2 Fe 0.7629 0.7629 0.3310
3 As 0.2588 0.2588 0.8443
4 As 0.4996 0.4996 0.4987

**Formation enthalpy at 0 K**: -0.06 eV/atom
**Total DFT energy (no corrections)**: -4.974 eV/atom
**Space group**: Cm, No. 8
**DOS(E_F)**: 0.50 states/eV/atom
**Spin magnetization**: 0.659 μB/atom

Entry 6:
# TbNd6Al2

A geometry-optimized TbNd6Al2 structure (PBE-GGA, the Alexandria database).

a b c (Å): 6.7471 6.7471 12.0465
angles (deg): 108.58 108.58 32.68
Fractional positions:
1 Tb 0.0000 0.0000 0.0000
2 Nd 0.0262 0.0262 0.3251
3 Nd 0.3106 0.3106 0.4084
4 Nd 0.3149 0.3149 0.1235
5 Nd 0.6851 0.6851 0.8765
6 Nd 0.6894 0.6894 0.5916
7 Nd 0.9738 0.9738 0.6749
8 Al 0.3517 0.3517 0.8040
9 Al 0.6483 0.6483 0.1960

**Formation enthalpy at 0 K**: -0.14 eV/atom
**Total DFT energy (no corrections)**: -4.663 eV/atom
**Space group**: C2/m, No. 12
**DOS(E_F)**: 1.03 states/eV/atom
**Spin magnetization**: 0.000 μB/atom

Entry 7:
# Li2AlSe

A geometry-optimized Li2AlSe structure (PBE-GGA, the Alexandria database).

a b c (Å): 3.5067 3.5567 5.4668
angles (deg): 90.00 90.00 90.00
Fractional positions:
1 Li 0.0000 0.0000 0.2255
2 Li 0.0000 0.0000 0.7745
3 Al 0.5000 0.5000 0.5000
4 Se 0.5000 0.5000 0.0000

**Total DFT energy (no corrections)**: -3.274 eV/atom
**Space group**: Pmmm, No. 47
**DOS(E_F)**: 0.34 states/eV/atom
**Spin magnetization**: 0.000 μB/atom

Entry 8:
# Ag2PdF8

A geometry-optimized Ag2PdF8 structure (PBE-GGA, the Alexandria database).

a b c (Å): 7.2755 7.2755 5.2329
angles (deg): 100.76 100.76 32.65
Fractional positions:
1 Ag 0.1443 0.1443 0.0843
2 Ag 0.8557 0.8557 0.9157
3 Pd 0.5000 0.5000 0.5000
4 F 0.0341 0.0341 0.2964
5 F 0.2407 0.2407 0.8450
6 F 0.3691 0.3691 0.5830
7 F 0.4215 0.4215 0.1381
8 F 0.5785 0.5785 0.8619
9 F 0.6309 0.6309 0.4170
10 F 0.7593 0.7593 0.1550
11 F 0.9659 0.9659 0.7036

**Total DFT energy (no corrections)**: -3.329 eV/atom
**Space group**: C2/m, No. 12
**DOS(E_F)**: 0.56 states/eV/atom
**Spin magnetization**: 0.030 μB/atom

- What is the formula in the seventh record?
  Li2AlSe

- Which value of spin magnetization does entry 2 give?
  1.039 μB/atom